Record 1
First-principles (PBE-GGA) data for crystalline CaTiRuAu2 at its relaxed geometry, as listed in the Alexandria database.

Cell: 5.0823 5.0823 4.4387 Å, 90.00 90.00 90.00°
Last column: nearest neighbours and their distance in Å.
Space group P4/mmm (No. 123)
Asymmetric unit:
Ca1 0.0000 0.0000 0.0000 [1 per cell]  8 Au 3.37, 4 Ru 3.59
Ti1 0.5000 0.5000 0.5000 [1 per cell]  2 Ru 2.22
Ru1 0.5000 0.5000 0.0000 [1 per cell]  2 Ti 2.22
Au1 0.0000 0.5000 0.5000 [2 per cell]  2 Ti 2.54

formation energy	39	kJ/mol of formula units

Record 2
First-principles (PBE-GGA) data for crystalline CaTl2RuAu at its relaxed geometry, as listed in the Alexandria database.

Cell: 5.3316 5.3316 5.5016 Å, 90.00 90.00 90.00°
Last column: nearest neighbours and their distance in Å.
Space group P4/mmm (No. 123)
Asymmetric unit:
Ca1 0.0000 0.0000 0.0000 [1 per cell]  2 Au 2.75
Tl1 0.0000 0.5000 0.5000 [2 per cell]  2 Au 2.67
Ru1 0.5000 0.5000 0.0000 [1 per cell]  4 Ca 3.77, 8 Tl 3.83
Au1 0.0000 0.0000 0.5000 [1 per cell]  4 Tl 2.67, 2 Ca 2.75

formation energy	382	kJ/mol of formula units

Record 3
First-principles (PBE-GGA) data for crystalline CaVRuAu2 at its relaxed geometry, as listed in the Alexandria database.

Cell: 5.0305 5.0305 4.3448 Å, 90.00 90.00 90.00°
Last column: nearest neighbours and their distance in Å.
Space group P4/mmm (No. 123)
Asymmetric unit:
Ca1 0.0000 0.0000 0.0000 [1 per cell]  8 Au 3.32, 4 Ru 3.56
V1 0.5000 0.5000 0.5000 [1 per cell]  2 Ru 2.17
Ru1 0.5000 0.5000 0.0000 [1 per cell]  2 V 2.17
Au1 0.0000 0.5000 0.5000 [2 per cell]  2 V 2.52

formation energy	114	kJ/mol of formula units

Record 4
First-principles (PBE-GGA) data for crystalline Ca4Au2S at its relaxed geometry, as listed in the Alexandria database.

Cell: 5.3124 5.3124 14.8712 Å, 90.00 90.00 90.00°
Last column: nearest neighbours and their distance in Å.
Space group I4/mmm (No. 139)
Asymmetric unit:
Ca1 0.0000 0.0000 0.1917 [4 per cell]  1 S 2.85, 1 Au 2.92
Ca2 0.0000 0.5000 0.0000 [4 per cell]  2 S 2.66
Au1 0.0000 0.0000 0.3878 [4 per cell]  5 Ca 2.92-3.14
S1 0.0000 0.0000 0.0000 [2 per cell]  6 Ca 2.66-2.85

E_form (uncorrected)	-0.884	eV/atom

Record 5
First-principles (PBE-GGA) data for crystalline CaAuS3 at its relaxed geometry, as listed in the Alexandria database.

Cell: 4.8667 4.8667 4.8667 Å, 90.00 90.00 90.00°
Last column: nearest neighbours and their distance in Å.
Space group Pm-3m (No. 221)
Asymmetric unit:
Ca1 0.0000 0.0000 0.0000 [1 per cell]  12 S 3.44
Au1 0.5000 0.5000 0.5000 [1 per cell]  6 S 2.43
S1 0.0000 0.5000 0.5000 [3 per cell]  2 Au 2.43

E_form (uncorrected)	-0.292	eV/atom

Record 6
First-principles (PBE-GGA) data for crystalline Ca2AuS at its relaxed geometry, as listed in the Alexandria database.

Cell: 7.5138 7.5138 8.0985 Å, 90.00 90.00 90.00°
Last column: nearest neighbours and their distance in Å.
Space group I-42d (No. 122)
Asymmetric unit:
Ca1 0.2212 0.2500 0.1250 [8 per cell]  2 S 2.70, 2 Au 2.99
Au1 0.0000 0.0000 0.5000 [4 per cell]  4 Ca 2.99
S1 0.0000 0.0000 0.0000 [4 per cell]  4 Ca 2.70

E_form (uncorrected)	-1.099	eV/atom

Respective total magnetic moment values: 0.000; 0.401; 0.000; 0.000; 0.000; 0.000 μB/atom.